No. 1
This record from the Alexandria database describes a relaxed structure of LaCr2Si2C. The functional is GGA-PBEsol.

Results
V, Å³ per cell: 84.8
Space group: P4/mmm
Energy relative to the elements, uncorrected, eV per atom: -0.4959
Magnetic moment, μB per atom: 0.083
Density of states at the Fermi level, states/eV/atom: 0.658
Final energy, eV/atom: -8.32

Unit cell a=3.9695 b=3.9695 c=5.3826 alpha=90.00 beta=90.00 gamma=90.00
Closest atoms and distances in Å follow each position.
Positions (direct):
Cr  0.0000  0.5000  0.5000  2 C 1.98
Cr  0.5000  0.0000  0.5000  2 C 1.98
Si  0.5000  0.5000  0.7616  4 Cr 2.43, 1 Si 2.57
Si  0.5000  0.5000  0.2384  4 Cr 2.43, 1 Si 2.57
C  0.0000  0.0000  0.5000  4 Cr 1.98
La  0.0000  0.0000  0.0000  2 C 2.69

=====

No. 2
This record from the Alexandria database describes a relaxed structure of BiBSb3. The functional is GGA-PBEsol.

Results
V, Å³ per cell: 116.2
Space group: Pm-3m
Energy relative to the elements, uncorrected, eV per atom: 0.5722
Magnetic moment, μB per atom: 0.000
Density of states at the Fermi level, states/eV/atom: 0.542
Final energy, eV/atom: -4.42

Unit cell a=4.8802 b=4.8802 c=4.8802 alpha=90.00 beta=90.00 gamma=90.00
Closest atoms and distances in Å follow each position.
Positions (direct):
Sb  0.0000  0.5000  0.0000  2 B 2.44
Sb  0.0000  0.0000  0.5000  2 B 2.44
Sb  0.5000  0.0000  0.0000  2 B 2.44
B  0.0000  0.0000  0.0000  6 Sb 2.44
Bi  0.5000  0.5000  0.5000  12 Sb 3.45

=====

No. 3
This record from the Alexandria database describes a relaxed structure of NaLiCl2. The functional is GGA-PBEsol.

Results
V, Å³ per cell: 75.0
Space group: Fm-3m
Energy relative to the elements, uncorrected, eV per atom: -1.5966
Magnetic moment, μB per atom: 0.000
Density of states at the Fermi level, states/eV/atom: 0.000
Final energy, eV/atom: -3.44

Unit cell a=4.7338 b=4.7338 c=4.7338 alpha=60.00 beta=60.00 gamma=60.00
Closest atoms and distances in Å follow each position.
Positions (direct):
Na  0.5000  0.5000  0.5000  8 Cl 2.90
Cl  0.2500  0.2500  0.2500  4 Na 2.90, 4 Li 2.90
Cl  0.7500  0.7500  0.7500  4 Na 2.90, 4 Li 2.90
Li  0.0000  0.0000  0.0000  8 Cl 2.90

=====

No. 4
This record from the Alexandria database describes a relaxed structure of MnCoO2. The functional is GGA-PBEsol.

Results
V, Å³ per cell: 39.5
Space group: R-3m
Energy relative to the elements, uncorrected, eV per atom: -0.8940
Magnetic moment, μB per atom: 0.811
Density of states at the Fermi level, states/eV/atom: 0.506
Final energy, eV/atom: -7.89

Unit cell a=2.8387 b=2.8387 c=5.8868 alpha=76.05 beta=76.05 gamma=60.00
Closest atoms and distances in Å follow each position.
Positions (direct):
Mn  0.0000  0.0000  0.0000  2 O 1.86
Co  0.5000  0.5000  0.5000  6 O 1.90
O  0.8904  0.8904  0.3289  1 Mn 1.86, 3 Co 1.90
O  0.1096  0.1096  0.6711  1 Mn 1.86, 3 Co 1.90

=====

No. 5
This record from the Alexandria database describes a relaxed structure of FeBr3. The functional is GGA-PBEsol.

Results
V, Å³ per cell: 225.9
Space group: Cmcm
Energy relative to the elements, uncorrected, eV per atom: -0.2795
Magnetic moment, μB per atom: 1.129
Density of states at the Fermi level, states/eV/atom: 0.371
Final energy, eV/atom: -3.92

Unit cell a=3.2566 b=8.4299 c=8.4299 alpha=102.54 beta=90.00 gamma=90.00
Closest atoms and distances in Å follow each position.
Positions (direct):
Fe  0.7500  0.7097  0.2903  6 Br 2.53-2.54
Fe  0.2500  0.2903  0.7097  6 Br 2.53-2.54
Br  0.7500  0.1425  0.8575  2 Fe 2.54
Br  0.2500  0.8575  0.1425  2 Fe 2.54
Br  0.7500  0.5232  0.7940  2 Fe 2.53
Br  0.2500  0.4768  0.2060  2 Fe 2.53
Br  0.2500  0.7940  0.5232  2 Fe 2.53
Br  0.7500  0.2060  0.4768  2 Fe 2.53

=====

No. 6
This record from the Alexandria database describes a relaxed structure of TcAg3. The functional is GGA-PBEsol.

Results
V, Å³ per cell: 64.0
Space group: Pm-3m
ΔE to the lowest computed polymorph, eV/atom: 0.4049
Magnetic moment, μB per atom: 0.001
Density of states at the Fermi level, states/eV/atom: 1.856
Final energy, eV/atom: -4.56

Unit cell a=3.9991 b=3.9991 c=3.9991 alpha=90.00 beta=90.00 gamma=90.00
Closest atoms and distances in Å follow each position.
Positions (direct):
Ag  0.0000  0.0000  0.5000  4 Tc 2.83, 8 Ag 2.83
Ag  0.0000  0.5000  0.0000  8 Ag 2.83, 4 Tc 2.83
Ag  0.5000  0.0000  0.0000  8 Ag 2.83, 4 Tc 2.83
Tc  0.5000  0.5000  0.5000  12 Ag 2.83

=====

No. 7
This record from the Alexandria database describes a relaxed structure of SrSb2Rh. The functional is GGA-PBEsol.

Results
V, Å³ per cell: 99.3
Space group: C2/m
Energy relative to the elements, uncorrected, eV per atom: -0.6722
Magnetic moment, μB per atom: 0.000
Density of states at the Fermi level, states/eV/atom: 0.354
Final energy, eV/atom: -5.45

Unit cell a=4.3255 b=4.3315 c=6.6016 alpha=109.07 beta=90.00 gamma=119.95
Closest atoms and distances in Å follow each position.
Positions (direct):
Sb  0.7786  0.5572  0.8358  3 Rh 2.69
Sb  0.2214  0.4428  0.1642  3 Rh 2.69
Rh  0.5000  0.0000  0.0000  6 Sb 2.69
Sr  0.0000  0.0000  0.5000  6 Sb 3.23-3.24

=====

No. 8
This record from the Alexandria database describes a relaxed structure of Re2SiAg. The functional is GGA-PBEsol.

Results
V, Å³ per cell: 58.5
Space group: P4mm
Energy relative to the elements, uncorrected, eV per atom: 0.1817
Magnetic moment, μB per atom: 0.000
Density of states at the Fermi level, states/eV/atom: 0.603
Final energy, eV/atom: -8.75

Unit cell a=2.9018 b=2.9018 c=6.9446 alpha=90.00 beta=90.00 gamma=90.00
Closest atoms and distances in Å follow each position.
Positions (direct):
Ag  0.5000  0.5000  0.7291  4 Si 2.69, 4 Ag 2.90, 4 Re 2.91
Re  0.0000  0.0000  0.0255  8 Re 2.65-2.90, 4 Ag 2.91
Re  0.5000  0.5000  0.2670  4 Si 2.52, 4 Re 2.65
Si  0.0000  0.0000  0.4785  4 Re 2.52, 4 Ag 2.69